(1)
First-principles (PBE) data for In3Ag5Au2 after structural relaxation, as listed in the Alexandria database.

Unit cell a=5.6222 b=9.3404 c=9.3404 alpha=95.84 beta=72.48 gamma=72.48
Last column: nearest neighbours and their distance in Å.
Fractional coordinates of all 20 atoms:
In (0.2500, 0.0000, 0.0000)  2 In 2.81, 2 Ag 2.84, 4 Au 2.90
Ag (0.4957, 0.2543, 0.2543)  5 Ag 2.75-2.88, 1 In 2.84, 2 Au 2.92
Ag (0.8790, 0.4704, 0.7716)  1 Au 2.73, 4 Ag 2.86-2.88
Ag (0.3790, 0.7716, 0.4704)  1 Au 2.73, 4 Ag 2.86-2.88
Ag (0.7500, 0.5000, 0.5000)  8 Ag 2.75-2.86
Au (0.6250, 0.0272, 0.7227)  3 Ag 2.73-2.92, 3 In 2.90-3.06
Ag (0.1210, 0.5296, 0.2284)  1 Au 2.73, 4 Ag 2.86-2.88
In (0.3718, 0.3804, 0.8761)  4 Au 3.06-3.15, 4 Ag 3.10-3.14
In (0.8718, 0.8761, 0.3804)  4 Au 3.06-3.15, 4 Ag 3.10-3.14
Ag (0.0043, 0.7457, 0.7457)  5 Ag 2.75-2.88, 1 In 2.84, 2 Au 2.92
In (0.6282, 0.6196, 0.1239)  4 Au 3.06-3.15, 4 Ag 3.10-3.14
Au (0.8750, 0.2773, 0.9728)  3 Ag 2.73-2.92, 3 In 2.90-3.06
Ag (0.9957, 0.2543, 0.2543)  5 Ag 2.75-2.88, 1 In 2.84, 2 Au 2.92
Ag (0.2500, 0.5000, 0.5000)  8 Ag 2.75-2.86
Ag (0.6210, 0.2284, 0.5296)  1 Au 2.73, 4 Ag 2.86-2.88
Ag (0.5043, 0.7457, 0.7457)  5 Ag 2.75-2.88, 1 In 2.84, 2 Au 2.92
In (0.1282, 0.1239, 0.6196)  4 Au 3.06-3.15, 4 Ag 3.10-3.14
In (0.7500, 0.0000, 0.0000)  2 In 2.81, 2 Ag 2.84, 4 Au 2.90
Au (0.1250, 0.7227, 0.0272)  3 Ag 2.73-2.92, 3 In 2.90-3.06
Au (0.3750, 0.9728, 0.2773)  3 Ag 2.73-2.92, 3 In 2.90-3.06

Fermi-level density of states = 6.33 states/eV per cell
Calculated density = 9.7 g/cm3
Magnetization = 0.00 μB per cell
Raw total energy = -2.846 eV/atom
Space-group type = No. 72

***

(2)
First-principles (PBE) data for In2Ag2Au15 after structural relaxation, as listed in the Alexandria database.

Unit cell a=7.3277 b=7.3277 c=7.3277 alpha=82.75 beta=82.75 gamma=82.75
Last column: nearest neighbours and their distance in Å.
Fractional coordinates of all 19 atoms:
Ag (0.9001, 0.9001, 0.9001)  1 Ag 2.84, 6 Au 2.95-3.01
Au (0.3135, 0.6865, 0.0000)  8 Au 2.82-3.04
Au (0.8427, 0.3442, 0.3442)  8 Au 2.80-2.94, 1 Ag 3.01
Au (0.3442, 0.8427, 0.3442)  8 Au 2.80-2.94, 1 Ag 3.01
Au (0.0000, 0.0000, 0.5000)  8 Au 2.80-2.82, 2 Ag 2.95
Au (0.6865, 0.0000, 0.3135)  8 Au 2.82-3.04
Au (0.3442, 0.3442, 0.8427)  8 Au 2.80-2.94, 1 Ag 3.01
Au (0.6558, 0.1573, 0.6558)  8 Au 2.80-2.94, 1 Ag 3.01
Au (0.0000, 0.6865, 0.3135)  8 Au 2.82-3.04
Au (0.5000, 0.0000, 0.0000)  8 Au 2.80-2.82, 2 Ag 2.95
Au (0.6865, 0.3135, 0.0000)  8 Au 2.82-3.04
Au (0.1573, 0.6558, 0.6558)  8 Au 2.80-2.94, 1 Ag 3.01
In (0.3613, 0.3613, 0.3613)  12 Au 3.33-3.50, 1 Ag 3.71
In (0.6387, 0.6387, 0.6387)  12 Au 3.33-3.50, 1 Ag 3.71
Au (0.6558, 0.6558, 0.1573)  8 Au 2.80-2.94, 1 Ag 3.01
Ag (0.0999, 0.0999, 0.0999)  1 Ag 2.84, 6 Au 2.95-3.01
Au (0.0000, 0.3135, 0.6865)  8 Au 2.82-3.04
Au (0.0000, 0.5000, 0.0000)  8 Au 2.80-2.82, 2 Ag 2.95
Au (0.3135, 0.0000, 0.6865)  8 Au 2.82-3.04

Fermi-level density of states = 6.71 states/eV per cell
Calculated density = 14.7 g/cm3
Magnetization = 0.00 μB per cell
Raw total energy = -3.153 eV/atom
Space-group type = No. 166

***

(3)
First-principles (PBE) data for In2Ag2Au7 after structural relaxation, as listed in the Alexandria database.

Unit cell a=3.8971 b=8.0620 c=8.0620 alpha=62.42 beta=75.73 gamma=75.73
Last column: nearest neighbours and their distance in Å.
Fractional coordinates of all 11 atoms:
Au (0.3362, 0.6648, 0.6648)  6 Au 2.85-3.09, 2 In 2.85, 2 Ag 2.93-2.95
Au (0.8369, 0.9126, 0.4138)  6 Au 2.85-3.09, 3 Ag 2.86-3.05, 2 In 2.91-2.92
Au (0.6638, 0.3352, 0.3352)  6 Au 2.85-3.09, 2 In 2.85, 2 Ag 2.93-2.95
Au (0.8369, 0.4138, 0.9126)  6 Au 2.85-3.09, 3 Ag 2.86-3.05, 2 In 2.91-2.92
Au (0.1631, 0.5862, 0.0874)  6 Au 2.85-3.09, 3 Ag 2.86-3.05, 2 In 2.91-2.92
In (0.5000, 0.2791, 0.7209)  8 Au 2.85-3.04
Ag (0.6685, 0.8315, 0.8315)  10 Au 2.86-3.05
In (0.5000, 0.7209, 0.2791)  8 Au 2.85-3.04
Au (0.0000, 0.0000, 0.0000)  4 Ag 2.95-2.97, 4 Au 3.00, 4 In 3.04
Au (0.1631, 0.0874, 0.5862)  6 Au 2.85-3.09, 3 Ag 2.86-3.05, 2 In 2.91-2.92
Ag (0.3315, 0.1685, 0.1685)  10 Au 2.86-3.05

Fermi-level density of states = 2.26 states/eV per cell
Calculated density = 14.1 g/cm3
Magnetization = 0.00 μB per cell
Raw total energy = -3.196 eV/atom
Space-group type = No. 12
Energy above the lowest structure with this stoichiometry = 0 meV/atom

***

(4)
First-principles (PBE) data for InAgAu2 after structural relaxation, as listed in the Alexandria database.

Unit cell a=3.3912 b=3.9389 c=5.8094 alpha=90.00 beta=90.00 gamma=90.00
Last column: nearest neighbours and their distance in Å.
Fractional coordinates of all 4 atoms:
Au (0.0000, 0.0000, 0.9923)  2 In 2.90-2.91, 4 Ag 2.92, 4 Au 3.01
In (0.0000, 0.0000, 0.4926)  6 Au 2.90-2.95, 4 Ag 3.03
Au (0.5000, 0.5000, 0.2534)  2 Ag 2.86-2.95, 4 In 2.95, 4 Au 3.01
Ag (0.5000, 0.5000, 0.7617)  6 Au 2.86-2.95, 4 In 3.03

Fermi-level density of states = 0.70 states/eV per cell
Calculated density = 13.2 g/cm3
Magnetization = 0.00 μB per cell
Raw total energy = -3.113 eV/atom
Space-group type = No. 25